An optimized crystal structure of Th4AsOs2Se. Source: the Alexandria database, functional GGA-PBE.

The structure in POSCAR format:
```
Th4AsOs2Se
1.0
7.1739 0.0000 0.0000
0.0000 4.1385 0.0000
-2.3641 0.0000 7.1875
Th As Os Se
4 1 2 1
Direct
0.2370 0.0000 0.2193
0.2569 0.5000 0.7781
0.7431 0.5000 0.2219
0.7630 0.0000 0.7807
0.0000 0.0000 0.5000
0.0000 0.5000 0.0000
0.5000 0.0000 0.0000
0.5000 0.5000 0.5000
```

## Properties
Magnetization in μB per cell: 0.00
SG: No. 10

---

An optimized crystal structure of TlAsOsSe2. Source: the Alexandria database, functional GGA-PBE.

The structure in POSCAR format:
```
TlAsOsSe2
1.0
5.1665 0.0000 0.0000
0.0000 5.1665 0.0000
0.0000 0.0000 4.6740
Tl As Os Se
1 1 1 2
Direct
0.0000 0.0000 0.0000
0.5000 0.5000 0.0000
0.5000 0.5000 0.5000
0.0000 0.5000 0.5000
0.5000 0.0000 0.5000
```

## Properties
Polymorph energy (0 for the lowest one) in meV/atom: 0
Magnetization in μB per cell: 0.00
SG: No. 123

---

An optimized crystal structure of TlAsOsSe2. Source: the Alexandria database, functional GGA-PBE.

The structure in POSCAR format:
```
TlAsOsSe2
1.0
5.2453 0.0000 0.0000
0.0000 5.2453 0.0000
0.0000 0.0000 5.3655
Tl As Os Se
1 1 1 2
Direct
0.0000 0.0000 0.0000
0.0000 0.0000 0.5000
0.5000 0.5000 0.5000
0.0000 0.5000 0.0000
0.5000 0.0000 0.0000
```

## Properties
Polymorph energy (0 for the lowest one) in meV/atom: 1576
Magnetization in μB per cell: 3.48
SG: No. 123

---

An optimized crystal structure of AsOsWSe2. Source: the Alexandria database, functional GGA-PBE.

The structure in POSCAR format:
```
AsOsWSe2
1.0
4.8269 0.0000 0.0000
0.0000 4.8269 0.0000
0.0000 0.0000 4.9900
As Os W Se
1 1 1 2
Direct
0.0000 0.0000 0.0000
0.5000 0.5000 0.0000
0.0000 0.0000 0.5000
0.0000 0.5000 0.5000
0.5000 0.0000 0.5000
```

## Properties
Polymorph energy (0 for the lowest one) in meV/atom: 0
Magnetization in μB per cell: 3.28
SG: No. 123

---

Number 1: electronic total energy -8.420 eV/atom, ΔE_f (raw) -85.4 kJ per mole of atoms. Number 2: electronic total energy -4.660 eV/atom, ΔE_f (raw) 37.0 kJ per mole of atoms. Number 3: electronic total energy -3.084 eV/atom, ΔE_f (raw) 189.0 kJ per mole of atoms. Number 4: electronic total energy -5.700 eV/atom, ΔE_f (raw) 140.9 kJ per mole of atoms.